(1)
The following is a GGA-PBE calculation of an optimized crystal structure of KNp2S4, from the Alexandria database.

Unit cell a=6.9182 b=4.0411 c=7.9182 alpha=90.00 beta=107.23 gamma=90.00
Sites, in units of the cell vectors:
K: 0.0000 0.0000 0.0000
Np: 0.0000 0.5000 0.5000
Np: 0.5000 0.0000 0.5000
S: 0.2273 0.0000 0.6859
S: 0.2681 0.5000 0.3087
S: 0.7319 0.5000 0.6913
S: 0.7727 0.0000 0.3141

Uncorrected formation energy: -1399 meV/atom

(2)
The following is a GGA-PBE calculation of an optimized crystal structure of K4Np3S8, from the Alexandria database.

Unit cell a=9.1319 b=9.1319 c=9.1319 alpha=53.62 beta=53.62 gamma=53.62
Sites, in units of the cell vectors:
K: 0.0000 0.0000 0.0000
K: 0.1438 0.1438 0.1438
K: 0.5000 0.5000 0.5000
K: 0.8562 0.8562 0.8562
Np: 0.0000 0.5000 0.5000
Np: 0.5000 0.0000 0.5000
Np: 0.5000 0.5000 0.0000
S: 0.2477 0.2477 0.6927
S: 0.2477 0.6927 0.2477
S: 0.2745 0.2745 0.2745
S: 0.3073 0.7523 0.7523
S: 0.6927 0.2477 0.2477
S: 0.7255 0.7255 0.7255
S: 0.7523 0.3073 0.7523
S: 0.7523 0.7523 0.3073

Uncorrected formation energy: -1304 meV/atom